1.
HfTi2Co: PBEsol geometry, meta-GGA SCAN.

Unit cell a=4.411 b=4.411 c=4.411 alpha=60.00 beta=60.00 gamma=60.00
Element x y z (fractional)
Hf 0.000 0.000 0.000
Ti 0.250 0.250 0.250
Ti 0.750 0.750 0.750
Co 0.500 0.500 0.500

Results
Space-group type: No. 225
Calculated total energy in eV per atom: -27.891
Calculated formation energy in meV/atom: 118.1


2.
MgNbAsSe2: PBEsol geometry, meta-GGA SCAN.

Unit cell a=4.974 b=4.974 c=5.047 alpha=90.00 beta=90.00 gamma=90.00
Element x y z (fractional)
Mg 0.000 0.000 0.000
Nb 0.500 0.500 0.500
As 0.500 0.500 0.000
Se 0.000 0.500 0.500
Se 0.500 0.000 0.500

Results
Space-group type: No. 123
Formation energy (no corrections) in meV per atom: -98
Calculated total energy in eV per atom: -19.789


3.
LiMnHg2: PBEsol geometry, meta-GGA SCAN.

Unit cell a=5.129 b=5.129 c=4.682 alpha=100.84 beta=100.84 gamma=35.89
Element x y z (fractional)
Li 0.000 0.000 0.000
Mn 0.246 0.246 0.673
Hg 0.505 0.505 0.515
Hg 0.745 0.745 0.165

Results
Space-group type: No. 8
Calculated total energy in eV per atom: -39.461
Calculated formation energy in meV/atom: -216.5


4.
ScTa2Cl: PBEsol geometry, meta-GGA SCAN.

Unit cell a=3.123 b=5.423 c=4.450 alpha=90.00 beta=90.07 gamma=90.00
Element x y z (fractional)
Sc 0.000 0.000 0.000
Ta 0.264 0.500 0.232
Ta 0.736 0.500 0.768
Cl 0.500 0.000 0.500

Results
Space-group type: No. 10
Formation energy (no corrections) in meV per atom: 126
Calculated total energy in eV per atom: -38.719


Among the records above, which one has the lowest calculated total energy? LiMnHg2